# 1
Computed, not measured: a geometry-optimized PtAu3 structure at the PBE level of DFT.

Unit cell a=2.9864 b=4.0017 c=5.8245 alpha=90.00 beta=90.00 gamma=90.00
Element x y z (fractional)
Pt  0.0000  0.0000  0.0000
Au  0.0000  0.0000  0.5000
Au  0.5000  0.5000  0.2454
Au  0.5000  0.5000  0.7546

Calculated density   18.75 g/cm³
Calculated volume   17.4 Å³/atom
ΔE_f   3.14 kJ per mole of atoms
Electronic total energy   -3.936 eV per atom

# 2
Computed, not measured: a geometry-optimized Rb2Ce2PdS6 structure at the PBE level of DFT.

Unit cell a=6.8471 b=6.8471 c=8.1666 alpha=97.58 beta=97.58 gamma=119.57
Element x y z (fractional)
Rb  0.1615  0.8385  0.0000
Rb  0.8385  0.1615  0.0000
Ce  0.3294  0.6706  0.5000
Ce  0.6706  0.3294  0.5000
Pd  0.0000  0.0000  0.5000
S  0.0675  0.4003  0.6917
S  0.2413  0.2413  0.3319
S  0.4003  0.0675  0.6917
S  0.5997  0.9325  0.3083
S  0.7587  0.7587  0.6681
S  0.9325  0.5997  0.3083

Calculated density   3.88 g/cm³
Calculated volume   29.2 Å³/atom
Electronic total energy   -5.287 eV per atom
ΔE_f (raw)   -1.31 eV per atom

# 3
Computed, not measured: a geometry-optimized TbHfS structure at the PBE level of DFT.

Unit cell a=8.3625 b=8.3625 c=8.3625 alpha=156.38 beta=144.21 gamma=43.33
Element x y z (fractional)
Tb  0.1697  0.1697  0.0000
Tb  0.8303  0.8303  0.0000
Hf  0.2501  0.5000  0.7501
Hf  0.7499  0.5000  0.2499
S  0.3449  0.3449  0.0000
S  0.6551  0.6551  0.0000

Calculated density   8.98 g/cm³
Calculated volume   22.8 Å³/atom
Electronic total energy   -6.898 eV per atom
ΔE_f (raw)   -0.66 eV per atom

- Which formula does entry 2 have?
  Rb2Ce2PdS6